Entry 1:
{"formula": "Tb4Sm2DyTm2", "functional": "GGA-PBE", "state": "relaxed", "formation_enthalpy_0k_kj_per_mol_atoms": 1.1, "spacegroup": "C2/m, No. 12", "lattice_angstrom": [[9.3119, -1.7954, 0.0000], [9.3119, 1.7954, 0.0000], [-4.1364, 0.0000, 8.5941]], "species": ["Tb", "Tb", "Tb", "Tb", "Sm", "Sm", "Dy", "Tm", "Tm"], "frac_coords": [[0.0183, 0.0183, 0.3308], [0.3153, 0.3153, 0.6685], [0.6847, 0.6847, 0.3315], [0.9817, 0.9817, 0.6692], [0.3517, 0.3517, 0.3322], [0.6483, 0.6483, 0.6678], [0.5000, 0.5000, 0.0000], [0.1669, 0.1669, 0.0010], [0.8331, 0.8331, 0.9990]]}



Entry 2:
{"formula": "Ac2Ag5Pd5", "functional": "GGA-PBE", "state": "relaxed", "formation_enthalpy_0k_kj_per_mol_atoms": -44.4, "spacegroup": "Pmmm, No. 47", "lattice_angstrom": [[4.6431, 0.0000, 0.0000], [0.0000, 5.5465, 0.0000], [0.0000, 0.0000, 9.6637]], "species": ["Ac", "Ac", "Ag", "Ag", "Ag", "Ag", "Ag", "Pd", "Pd", "Pd", "Pd", "Pd"], "frac_coords": [[0.0000, 0.0000, 0.0000], [0.0000, 0.5000, 0.5000], [0.5000, 0.0000, 0.5000], [0.5000, 0.2507, 0.2484], [0.5000, 0.2507, 0.7516], [0.5000, 0.7493, 0.2484], [0.5000, 0.7493, 0.7516], [0.0000, 0.0000, 0.3344], [0.0000, 0.0000, 0.6656], [0.0000, 0.5000, 0.1631], [0.0000, 0.5000, 0.8369], [0.5000, 0.5000, 0.0000]]}



Entry 3:
{"formula": "YSc4", "functional": "GGA-PBE", "state": "relaxed", "formation_enthalpy_0k_kj_per_mol_atoms": 85.3, "spacegroup": "Pm-3m, No. 221", "de_polymorph_mev_per_atom": 825.4, "lattice_angstrom": [[5.2122, 0.0000, 0.0000], [0.0000, 5.2122, 0.0000], [0.0000, 0.0000, 5.2122]], "species": ["Y", "Sc", "Sc", "Sc", "Sc"], "frac_coords": [[0.0000, 0.0000, 0.0000], [0.0000, 0.0000, 0.5000], [0.0000, 0.5000, 0.0000], [0.5000, 0.0000, 0.0000], [0.5000, 0.5000, 0.5000]]}



Entry 4:
{"formula": "Y2Er3Th", "functional": "GGA-PBE", "state": "relaxed", "formation_enthalpy_0k_kj_per_mol_atoms": 25.1, "spacegroup": "Cmc2_1, No. 36", "de_polymorph_mev_per_atom": 221.9, "lattice_angstrom": [[4.6979, -6.5848, 0.0000], [4.6979, 6.5848, 0.0000], [0.0000, 0.0000, 6.3374]], "species": ["Y", "Y", "Y", "Y", "Er", "Er", "Er", "Er", "Er", "Er", "Th", "Th"], "frac_coords": [[0.0072, 0.6301, 0.5000], [0.3699, 0.9928, 0.5000], [0.6301, 0.0072, 0.0000], [0.9928, 0.3699, 0.0000], [0.1159, 0.2505, 0.5248], [0.2505, 0.1159, 0.0248], [0.4170, 0.5830, 0.2910], [0.5830, 0.4170, 0.7910], [0.7495, 0.8841, 0.5248], [0.8841, 0.7495, 0.0248], [0.3291, 0.6709, 0.8120], [0.6709, 0.3291, 0.3120]]}



Entry 5:
{"formula": "AlTeW2", "functional": "GGA-PBE", "state": "relaxed", "formation_energy_uncorrected_ev_per_atom": 0.53, "spacegroup": "P4/mmm, No. 123", "de_polymorph_mev_per_atom": 236.5, "lattice_angstrom": [[3.3629, 0.0000, 0.0000], [0.0000, 3.3629, 0.0000], [0.0000, 0.0000, 6.1892]], "species": ["Al", "Te", "W", "W"], "frac_coords": [[0.0000, 0.0000, 0.0000], [0.0000, 0.0000, 0.5000], [0.5000, 0.5000, 0.2102], [0.5000, 0.5000, 0.7898]]}



Entry 6:
{"formula": "CaCrCo3", "functional": "GGA-PBE", "state": "relaxed", "formation_enthalpy_0k_kj_per_mol_atoms": 63.3, "spacegroup": "Pm-3m, No. 221", "de_polymorph_mev_per_atom": 0.0, "lattice_angstrom": [[4.2899, 0.0000, 0.0000], [0.0000, 4.2899, 0.0000], [0.0000, 0.0000, 4.2899]], "species": ["Ca", "Cr", "Co", "Co", "Co"], "frac_coords": [[0.0000, 0.0000, 0.0000], [0.5000, 0.5000, 0.5000], [0.0000, 0.5000, 0.5000], [0.5000, 0.0000, 0.5000], [0.5000, 0.5000, 0.0000]]}



Entry 7:
{"formula": "Pm2AlGa2Ni5", "functional": "GGA-PBE", "state": "relaxed", "formation_enthalpy_0k_kj_per_mol_atoms": -33.1, "spacegroup": "P4/mbm, No. 127", "lattice_angstrom": [[9.9643, 0.0000, 0.0000], [0.0000, 9.9643, 0.0000], [0.0000, 0.0000, 3.2037]], "species": ["Pm", "Pm", "Pm", "Pm", "Al", "Al", "Ga", "Ga", "Ga", "Ga", "Ni", "Ni", "Ni", "Ni", "Ni", "Ni", "Ni", "Ni", "Ni", "Ni"], "frac_coords": [[0.1759, 0.3241, 0.0000], [0.3241, 0.8241, 0.0000], [0.6759, 0.1759, 0.0000], [0.8241, 0.6759, 0.0000], [0.0000, 0.0000, 0.0000], [0.5000, 0.5000, 0.0000], [0.1248, 0.6248, 0.0000], [0.3752, 0.1248, 0.0000], [0.6248, 0.8752, 0.0000], [0.8752, 0.3752, 0.0000], [0.0000, 0.5000, 0.5000], [0.0516, 0.8046, 0.5000], [0.1954, 0.0516, 0.5000], [0.3046, 0.5516, 0.5000], [0.4484, 0.3046, 0.5000], [0.5000, 0.0000, 0.5000], [0.5516, 0.6954, 0.5000], [0.6954, 0.4484, 0.5000], [0.8046, 0.9484, 0.5000], [0.9484, 0.1954, 0.5000]]}



Entry 8:
{"formula": "Ce4ThCd2", "functional": "GGA-PBE", "state": "relaxed", "formation_enthalpy_0k_kj_per_mol_atoms": -5.5, "spacegroup": "Cmmm, No. 65", "lattice_angstrom": [[2.5693, -11.0939, 0.0000], [2.5693, 11.0939, 0.0000], [0.0000, 0.0000, 3.3810]], "species": ["Ce", "Ce", "Ce", "Ce", "Th", "Cd", "Cd"], "frac_coords": [[0.0643, 0.9357, 0.0000], [0.3480, 0.6520, 0.5000], [0.6520, 0.3480, 0.5000], [0.9357, 0.0643, 0.0000], [0.5000, 0.5000, 0.5000], [0.2138, 0.7862, 0.0000], [0.7862, 0.2138, 0.0000]]}



Entry 9:
{"formula": "LaPm2Nd5", "functional": "GGA-PBE", "state": "relaxed", "formation_enthalpy_0k_kj_per_mol_atoms": 1.4, "spacegroup": "Pbam, No. 55", "lattice_angstrom": [[7.3616, 0.0000, 0.0000], [0.0000, 14.7311, 0.0000], [0.0000, 0.0000, 5.2132]], "species": ["La", "La", "Pm", "Pm", "Pm", "Pm", "Nd", "Nd", "Nd", "Nd", "Nd", "Nd", "Nd", "Nd", "Nd", "Nd"], "frac_coords": [[0.0000, 0.0000, 0.0000], [0.5000, 0.5000, 0.0000], [0.2493, 0.1256, 0.5000], [0.2507, 0.6256, 0.5000], [0.7493, 0.3744, 0.5000], [0.7507, 0.8744, 0.5000], [0.0000, 0.5000, 0.0000], [0.0007, 0.7487, 0.0000], [0.2495, 0.3745, 0.5000], [0.2505, 0.8745, 0.5000], [0.4993, 0.2487, 0.0000], [0.5000, 0.0000, 0.0000], [0.5007, 0.7513, 0.0000], [0.7495, 0.1255, 0.5000], [0.7505, 0.6255, 0.5000], [0.9993, 0.2513, 0.0000]]}



Entry 10:
{"formula": "Dy5ErMg6", "functional": "GGA-PBE", "state": "relaxed", "formation_enthalpy_0k_kj_per_mol_atoms": -7.5, "spacegroup": "P2/m, No. 10", "lattice_angstrom": [[5.3628, 0.0000, 0.0000], [0.0000, 7.5346, 0.0000], [-2.6805, 0.0000, 8.0411]], "species": ["Dy", "Dy", "Dy", "Dy", "Dy", "Er", "Mg", "Mg", "Mg", "Mg", "Mg", "Mg"], "frac_coords": [[0.0000, 0.0000, 0.0000], [0.3340, 0.0000, 0.6661], [0.3349, 0.5000, 0.6678], [0.6651, 0.5000, 0.3322], [0.6660, 0.0000, 0.3339], [0.0000, 0.5000, 0.0000], [0.1652, 0.2505, 0.3332], [0.1652, 0.7495, 0.3332], [0.5000, 0.2503, 0.0000], [0.5000, 0.7497, 0.0000], [0.8348, 0.2505, 0.6668], [0.8348, 0.7495, 0.6668]]}



Entry 11:
{"formula": "POsRu2", "functional": "GGA-PBE", "state": "relaxed", "formation_enthalpy_0k_kj_per_mol_atoms": 19.6, "spacegroup": "Pmm2, No. 25", "lattice_angstrom": [[2.7854, 0.0000, 0.0000], [0.0000, 3.6656, 0.0000], [0.0000, 0.0000, 5.5404]], "species": ["P", "Os", "Ru", "Ru"], "frac_coords": [[0.0000, 0.0000, 0.0000], [0.5000, 0.5000, 0.6547], [0.0000, 0.0000, 0.4490], [0.5000, 0.5000, 0.1359]]}



Entry 12:
{"formula": "Li2Al2Pb", "functional": "GGA-PBE", "state": "relaxed", "formation_enthalpy_0k_kj_per_mol_atoms": -2.4, "spacegroup": "P4/mbm, No. 127", "de_polymorph_mev_per_atom": 0.0, "lattice_angstrom": [[8.0035, 0.0000, 0.0000], [0.0000, 8.0035, 0.0000], [0.0000, 0.0000, 3.1048]], "species": ["Li", "Li", "Li", "Li", "Al", "Al", "Al", "Al", "Pb", "Pb"], "frac_coords": [[0.1795, 0.3205, 0.0000], [0.3205, 0.8205, 0.0000], [0.6795, 0.1795, 0.0000], [0.8205, 0.6795, 0.0000], [0.1164, 0.6164, 0.5000], [0.3836, 0.1164, 0.5000], [0.6164, 0.8836, 0.5000], [0.8836, 0.3836, 0.5000], [0.0000, 0.0000, 0.5000], [0.5000, 0.5000, 0.5000]]}